Na2TiFeO4, relaxed, DFT PBE+U; DFT total energy = -53.08 eV/cell; crystal system = monoclinic; magnetization = 4.0 μB/f.u.
1.0
3.0726 0.0000 0.0000
0.0000 5.4344 0.0560
0.0000 -1.9377 5.3580
Na O Fe Ti
2 4 1 1
Direct
0.5000 0.0000 0.5000
0.0000 0.5000 0.5000
0.0000 0.2891 0.7941
0.0000 0.7109 0.2059
0.5000 0.7413 0.8066
0.5000 0.2587 0.1934
0.0000 0.0000 0.0000
0.5000 0.5000 0.0000